1.
First-principles (PBE-GGA) data for an optimized crystal structure of LiMgIr, as listed in the Alexandria database.

Computed properties:
- Magnetic moment: 0.00 μB per formula unit
- Calculated formation energy: 23 kJ/mol of atoms
- E: -3.887 eV/atom
- SG: No. 215
- ΔE to the lowest computed polymorph: 492.3 meV per atom

Cell: 6.0571 6.0571 6.0571 Å, 90.00 90.00 90.00°
Atoms (fractional coordinates):
Mg1 0.0000 0.0000 0.0000
Mg2 0.5000 0.0000 0.0000
Mg3 0.0000 0.0000 0.5000
Mg4 0.0000 0.5000 0.0000
Ir1 0.2551 0.2551 0.7449
Ir2 0.7449 0.2551 0.2551
Ir3 0.7449 0.7449 0.7449
Ir4 0.2551 0.7449 0.2551
Li1 0.0000 0.5000 0.5000
Li2 0.5000 0.5000 0.5000
Li3 0.5000 0.0000 0.5000
Li4 0.5000 0.5000 0.0000

2.
First-principles (PBE-GGA) data for an optimized crystal structure of Li2MgIr, as listed in the Alexandria database.

Computed properties:
- Magnetic moment: 0.00 μB per formula unit
- Calculated formation energy: -12 kJ/mol of atoms
- E: -3.697 eV/atom
- SG: No. 6

Cell: 4.2375 2.6904 5.6082 Å, 74.69 90.00 90.00°
Atoms (fractional coordinates):
Li1 0.5000 0.1950 0.2287
Li2 0.0000 0.0388 0.9919
Mg1 0.0000 0.4605 0.5286
Ir1 0.5000 0.8057 0.7509

3.
First-principles (PBE-GGA) data for an optimized crystal structure of Li2MgIr, as listed in the Alexandria database.

Computed properties:
- Magnetic moment: 0.00 μB per formula unit
- Calculated formation energy: -6 kJ/mol of atoms
- E: -3.633 eV/atom
- SG: No. 166

Cell: 9.6314 9.6314 9.6314 Å, 16.64 16.64 16.64°
Atoms (fractional coordinates):
Li1 0.0094 0.0094 0.0094
Li2 0.4906 0.4906 0.4906
Mg1 0.2500 0.2500 0.2500
Ir1 0.7500 0.7500 0.7500

4.
First-principles (PBE-GGA) data for an optimized crystal structure of LiMgIr, as listed in the Alexandria database.

Computed properties:
- Magnetic moment: 0.00 μB per formula unit
- Calculated formation energy: -7 kJ/mol of atoms
- E: -4.199 eV/atom
- SG: No. 42
- ΔE to the lowest computed polymorph: 180.3 meV per atom

Cell: 7.2667 7.0392 2.7770 Å, 83.45 74.23 22.31°
Atoms (fractional coordinates):
Li1 0.3473 0.3473 0.6527
Mg1 0.6547 0.6547 0.3453
Ir1 0.9980 0.9980 0.0020

5.
First-principles (PBE-GGA) data for an optimized crystal structure of LiMg6Ir5, as listed in the Alexandria database.

Computed properties:
- Magnetic moment: 0.00 μB per formula unit
- Calculated formation energy: -29 kJ/mol of atoms
- E: -4.944 eV/atom
- SG: No. 10

Cell: 4.4138 6.3199 7.0171 Å, 90.00 108.57 90.00°
Atoms (fractional coordinates):
Ir1 0.6632 0.0000 0.3271
Ir2 0.0000 0.5000 0.0000
Ir3 0.3393 0.5000 0.6789
Ir4 0.6607 0.5000 0.3211
Ir5 0.3368 0.0000 0.6729
Mg1 0.1712 0.2555 0.3426
Mg2 0.5000 0.7496 0.0000
Mg3 0.8288 0.7445 0.6574
Mg4 0.8288 0.2555 0.6574
Mg5 0.1712 0.7445 0.3426
Mg6 0.5000 0.2504 0.0000
Li1 0.0000 0.0000 0.0000

6.
First-principles (PBE-GGA) data for an optimized crystal structure of Li2Mg4Ir, as listed in the Alexandria database.

Computed properties:
- Magnetic moment: 0.00 μB per formula unit
- Calculated formation energy: -14 kJ/mol of atoms
- E: -2.873 eV/atom
- SG: No. 166

Cell: 4.5652 4.5652 7.8866 Å, 73.18 73.18 60.00°
Atoms (fractional coordinates):
Mg1 0.1229 0.1229 0.6313
Mg2 0.8771 0.8771 0.3687
Mg3 0.6270 0.6270 0.1191
Mg4 0.3730 0.3730 0.8809
Ir1 0.0000 0.0000 0.0000
Li1 0.7421 0.7421 0.7737
Li2 0.2579 0.2579 0.2263

7.
First-principles (PBE-GGA) data for an optimized crystal structure of LiMg4Ir, as listed in the Alexandria database.

Computed properties:
- Magnetic moment: 0.00 μB per formula unit
- Calculated formation energy: 0 kJ/mol of atoms
- E: -2.861 eV/atom
- SG: No. 6
- ΔE to the lowest computed polymorph: 43.5 meV per atom

Cell: 4.4244 4.4268 7.3118 Å, 89.99 90.01 90.00°
Atoms (fractional coordinates):
Li1 0.0010 0.9977 0.4981
Mg1 0.5015 0.9970 0.7945
Mg2 0.0013 0.4963 0.7945
Mg3 0.5013 0.9975 0.2017
Mg4 0.0013 0.4978 0.2018
Ir1 0.5012 0.4973 0.9982

8.
First-principles (PBE-GGA) data for an optimized crystal structure of Li5Mg2Ir, as listed in the Alexandria database.

Computed properties:
- Magnetic moment: 0.00 μB per formula unit
- Calculated formation energy: -9 kJ/mol of atoms
- E: -2.797 eV/atom
- SG: No. 55

Cell: 4.2280 5.7201 11.4386 Å, 90.00 90.00 90.00°
Atoms (fractional coordinates):
Li1 0.0000 0.9412 0.7373
Li2 0.5000 0.7801 0.1255
Li3 0.5000 0.2801 0.3745
Li4 0.0000 0.5588 0.2373
Li5 0.0000 0.4412 0.7627
Li6 0.5000 0.7199 0.6255
Li7 0.5000 0.2199 0.8745
Li8 0.0000 0.0588 0.2627
Li9 0.0000 0.0000 0.0000
Li10 0.0000 0.5000 0.5000
Mg1 0.5000 0.1917 0.6074
Mg2 0.5000 0.3083 0.1074
Mg3 0.5000 0.6917 0.8926
Mg4 0.5000 0.8083 0.3926
Ir1 0.0000 0.5000 0.0000
Ir2 0.0000 0.0000 0.5000

9.
First-principles (PBE-GGA) data for an optimized crystal structure of LiMg2Ir2, as listed in the Alexandria database.

Computed properties:
- Magnetic moment: 0.00 μB per formula unit
- Calculated formation energy: -10 kJ/mol of atoms
- E: -4.666 eV/atom
- SG: No. 127
- ΔE to the lowest computed polymorph: 17.3 meV per atom

Cell: 7.9687 7.9687 2.6921 Å, 90.00 90.00 90.00°
Atoms (fractional coordinates):
Li1 0.0000 0.0000 0.0000
Li2 0.5000 0.5000 0.0000
Mg1 0.6364 0.1364 0.0000
Mg2 0.3636 0.8636 0.0000
Mg3 0.8636 0.6364 0.0000
Mg4 0.1364 0.3636 0.0000
Ir1 0.1600 0.6600 0.5000
Ir2 0.6600 0.8400 0.5000
Ir3 0.3400 0.1600 0.5000
Ir4 0.8400 0.3400 0.5000

10.
First-principles (PBE-GGA) data for an optimized crystal structure of Li3Mg4Ir2, as listed in the Alexandria database.

Computed properties:
- Magnetic moment: 0.00 μB per formula unit
- Calculated formation energy: -26 kJ/mol of atoms
- E: -3.585 eV/atom
- SG: No. 164

Cell: 4.4966 4.4992 8.3808 Å, 89.98 90.01 60.01°
Atoms (fractional coordinates):
Mg1 0.6666 0.6668 0.8893
Mg2 0.0001 0.9997 0.3149
Mg3 0.3334 0.3332 0.1107
Mg4 0.9999 0.0003 0.6851
Li1 0.0000 0.0000 0.0000
Li2 0.3333 0.3333 0.4524
Li3 0.6667 0.6667 0.5476
Ir1 0.6668 0.6665 0.2212
Ir2 0.3332 0.3335 0.7788

11.
First-principles (PBE-GGA) data for an optimized crystal structure of LiMgIr, as listed in the Alexandria database.

Computed properties:
- Magnetic moment: 0.00 μB per formula unit
- Calculated formation energy: -19 kJ/mol of atoms
- E: -4.321 eV/atom
- SG: No. 1
- ΔE to the lowest computed polymorph: 58.1 meV per atom

Cell: 5.0568 5.4082 4.5296 Å, 83.69 109.52 57.19°
Atoms (fractional coordinates):
Mg1 0.7688 0.0093 0.3299
Mg2 0.4876 0.8264 0.7432
Ir1 0.1097 0.1676 0.0569
Ir2 0.8270 0.4737 0.4144
Li1 0.1762 0.6425 0.0584
Li2 0.4489 0.3564 0.6693

12.
First-principles (PBE-GGA) data for an optimized crystal structure of Li2MgIr, as listed in the Alexandria database.

Computed properties:
- Magnetic moment: 0.00 μB per formula unit
- Calculated formation energy: -3 kJ/mol of atoms
- E: -3.598 eV/atom
- SG: No. 65

Cell: 2.7423 2.7423 9.4624 Å, 90.00 90.00 114.83°
Atoms (fractional coordinates):
Mg1 0.5000 0.5000 0.2500
Ir1 0.5000 0.5000 0.7500
Li1 0.0000 0.0000 0.9674
Li2 0.0000 0.0000 0.5326

13.
First-principles (PBE-GGA) data for an optimized crystal structure of Li2MgIr, as listed in the Alexandria database.

Computed properties:
- Magnetic moment: 0.21 μB per formula unit
- Calculated formation energy: -13 kJ/mol of atoms
- E: -3.703 eV/atom
- SG: No. 10

Cell: 4.6223 2.7732 4.8049 Å, 86.63 90.00 90.00°
Atoms (fractional coordinates):
Li1 0.0000 0.4976 0.5336
Li2 0.0000 0.0024 0.9664
Mg1 0.5000 0.2500 0.2500
Ir1 0.5000 0.7500 0.7500

14.
First-principles (PBE-GGA) data for an optimized crystal structure of LiMgIr, as listed in the Alexandria database.

Computed properties:
- Magnetic moment: 0.33 μB per formula unit
- Calculated formation energy: -22 kJ/mol of atoms
- E: -4.348 eV/atom
- SG: No. 156
- ΔE to the lowest computed polymorph: 30.6 meV per atom

Cell: 4.3693 4.3693 2.6951 Å, 90.00 90.00 120.00°
Atoms (fractional coordinates):
Li1 0.6667 0.3333 0.3225
Mg1 0.3333 0.6667 0.6251
Ir1 0.0000 0.0000 0.0524

15.
First-principles (PBE-GGA) data for an optimized crystal structure of Li4Mg5Ir, as listed in the Alexandria database.

Computed properties:
- Magnetic moment: 0.00 μB per formula unit
- Calculated formation energy: -13 kJ/mol of atoms
- E: -2.580 eV/atom
- SG: No. 123

Cell: 3.2592 3.2592 17.7295 Å, 90.00 90.00 90.00°
Atoms (fractional coordinates):
Mg1 0.5000 0.5000 0.9191
Mg2 0.5000 0.5000 0.2886
Mg3 0.5000 0.5000 0.5000
Mg4 0.5000 0.5000 0.7114
Mg5 0.5000 0.5000 0.0809
Li1 0.0000 0.0000 0.1824
Li2 0.0000 0.0000 0.3948
Li3 0.0000 0.0000 0.8176
Li4 0.0000 0.0000 0.6052
Ir1 0.0000 0.0000 0.0000

16.
First-principles (PBE-GGA) data for an optimized crystal structure of LiMgIr, as listed in the Alexandria database.

Computed properties:
- Magnetic moment: 0.00 μB per formula unit
- Calculated formation energy: -15 kJ/mol of atoms
- E: -4.280 eV/atom
- SG: No. 164
- ΔE to the lowest computed polymorph: 99.0 meV per atom

Cell: 4.4162 4.4167 5.3473 Å, 89.97 89.96 59.98°
Atoms (fractional coordinates):
Li1 0.0001 0.5000 0.2149
Li2 0.9999 0.5000 0.7851
Ir1 0.3335 0.8334 0.1010
Ir2 0.6665 0.1666 0.8990
Mg1 0.6668 0.1667 0.3863
Mg2 0.3332 0.8333 0.6137

17.
First-principles (PBE-GGA) data for an optimized crystal structure of Li3MgIr, as listed in the Alexandria database.

Computed properties:
- Magnetic moment: 0.00 μB per formula unit
- Calculated formation energy: -9 kJ/mol of atoms
- E: -3.334 eV/atom
- SG: No. 74
- ΔE to the lowest computed polymorph: 0.0 meV per atom

Cell: 4.5970 9.0869 9.0869 Å, 67.67 104.62 104.62°
Atoms (fractional coordinates):
Ir1 0.6585 0.2458 0.5701
Ir2 0.3415 0.7542 0.4299
Ir3 0.8415 0.4299 0.7542
Ir4 0.1585 0.5701 0.2458
Li1 0.4322 0.6052 0.7598
Li2 0.5427 0.9327 0.6519
Li3 0.9573 0.3481 0.0673
Li4 0.4573 0.0673 0.3481
Li5 0.0678 0.2402 0.3948
Li6 0.6360 0.7010 0.0696
Li7 0.3640 0.2990 0.9304
Li8 0.1360 0.0696 0.7010
Li9 0.9322 0.7598 0.6052
Li10 0.8640 0.9304 0.2990
Li11 0.0427 0.6519 0.9327
Li12 0.5678 0.3948 0.2402
Mg1 0.2500 0.8923 0.1077
Mg2 0.7500 0.1077 0.8923
Mg3 0.7500 0.5867 0.4133
Mg4 0.2500 0.4133 0.5867

18.
First-principles (PBE-GGA) data for an optimized crystal structure of Li3MgIr, as listed in the Alexandria database.

Computed properties:
- Magnetic moment: 0.00 μB per formula unit
- Calculated formation energy: 34 kJ/mol of atoms
- E: -2.887 eV/atom
- SG: No. 221
- ΔE to the lowest computed polymorph: 447.6 meV per atom

Cell: 4.6490 4.6490 4.6490 Å, 90.00 90.00 90.00°
Atoms (fractional coordinates):
Li1 0.0000 0.0000 0.5000
Li2 0.5000 0.0000 0.0000
Li3 0.0000 0.5000 0.0000
Mg1 0.5000 0.5000 0.5000
Ir1 0.0000 0.0000 0.0000

19.
First-principles (PBE-GGA) data for an optimized crystal structure of Li2MgIr2, as listed in the Alexandria database.

Computed properties:
- Magnetic moment: 0.00 μB per formula unit
- Calculated formation energy: 18 kJ/mol of atoms
- E: -4.447 eV/atom
- SG: No. 139
- ΔE to the lowest computed polymorph: 164.1 meV per atom

Cell: 2.9900 2.9900 7.9672 Å, 79.18 79.18 90.00°
Atoms (fractional coordinates):
Li1 0.7500 0.2500 0.5000
Li2 0.2500 0.7500 0.5000
Mg1 0.0000 0.0000 0.0000
Ir1 0.6144 0.6144 0.7711
Ir2 0.3856 0.3856 0.2289

20.
First-principles (PBE-GGA) data for an optimized crystal structure of LiMgIr, as listed in the Alexandria database.

Computed properties:
- Magnetic moment: 0.00 μB per formula unit
- Calculated formation energy: 23 kJ/mol of atoms
- E: -3.887 eV/atom
- SG: No. 216
- ΔE to the lowest computed polymorph: 491.6 meV per atom

Cell: 4.2926 4.2926 4.2926 Å, 60.00 60.00 60.00°
Atoms (fractional coordinates):
Ir1 0.7500 0.7500 0.7500
Mg1 0.5000 0.5000 0.5000
Li1 0.0000 0.0000 0.0000